# Mg2GaAs

A geometry-optimized Mg2GaAs structure (GGA-PBE, Alexandria).

Cell lengths 11.5581, 4.2530, 7.3639 Å; angles 90.00, 102.55, 90.00 degrees
Closest atoms and distances in Å follow each position.
Atoms (fractional coordinates):
Mg 0.0838 0.9870 0.1949  4 As 2.62-2.80
Mg 0.2953 0.4865 0.1008  3 Ga 2.76-3.06, 3 As 2.86-2.87
Mg 0.7047 0.4865 0.8992  3 Ga 2.76-3.06, 3 As 2.86-2.87
Mg 0.9162 0.9870 0.8051  4 As 2.62-2.80
Mg 0.2953 0.9865 0.6008  3 Ga 2.76-3.06, 3 As 2.86-2.87
Mg 0.7047 0.9865 0.3992  3 Ga 2.76-3.06, 3 As 2.86-2.87
Mg 0.0838 0.4870 0.6949  4 As 2.62-2.80
Mg 0.9162 0.4870 0.3051  4 As 2.62-2.80
Ga 0.5403 0.9865 0.6809  3 Ga 2.62-2.63, 1 Mg 2.76
Ga 0.4597 0.4865 0.8191  3 Ga 2.62-2.63, 1 Mg 2.76
Ga 0.4597 0.9865 0.3191  3 Ga 2.62-2.63, 1 Mg 2.76
Ga 0.5403 0.4865 0.1809  3 Ga 2.62-2.63, 1 Mg 2.76
As 0.1644 0.9868 0.8893  7 Mg 2.62-2.87
As 0.1644 0.4868 0.3893  7 Mg 2.62-2.87
As 0.8356 0.4868 0.6107  7 Mg 2.62-2.87
As 0.8356 0.9868 0.1107  7 Mg 2.62-2.87

Values from the calculation:
Crystal system = monoclinic
Mass density = 3.633 g/cm³
Distance to the lowest polymorph of the same formula = 0 meV/atom
Fermi-level density of states = 3.2 states/eV/cell
Formation energy = -0.3724 eV per atom
Space-group type = C2/m, No. 12